VASP calculation (PBE-GGA) on an optimized crystal structure of ThRhSe.

POSCAR file:
```
ThRhSe
1.0
-1.1130 -3.3408 1.4680
2.6278 -2.0981 -2.7824
1.4953 1.2218 3.9141
Rh Se Th
1 1 1
Direct
0.1658 0.0000 0.0000 Rh
0.1673 0.3333 0.6667 Se
0.6669 0.6667 0.3333 Th
```

Results
- N(E_F) (states/eV per cell) = 1.40
- ΔE_f (raw) (eV per atom) = -1.20
- energy relative to the lowest polymorph listed for this composition (meV/atom) = 0

---

VASP calculation (PBE-GGA) on an optimized crystal structure of Th5RhSe4.

POSCAR file:
```
Th5RhSe4
1.0
-5.2688 -1.6877 2.2311
0.4686 -3.7959 6.2103
-2.9717 4.8165 4.6008
Th Rh Se
5 1 4
Direct
0.9008 0.3869 0.8135 Th
0.2878 0.8135 0.6131 Th
0.7144 0.1865 0.3869 Th
0.1013 0.6131 0.1865 Th
0.5009 0.0000 0.0000 Th
0.0008 0.0000 0.0000 Rh
0.4072 0.3991 0.7886 Se
0.8063 0.7886 0.6009 Se
0.1959 0.2114 0.3991 Se
0.5949 0.6009 0.2114 Se
```

Results
- N(E_F) (states/eV per cell) = 7.58
- ΔE_f (raw) (eV per atom) = -1.42

---

VASP calculation (PBE-GGA) on an optimized crystal structure of Th3Tl3RhSe8.

POSCAR file:
```
Th3Tl3RhSe8
1.0
-1.9052 -7.7529 2.3959
-0.9654 2.2570 -7.9638
8.7216 -1.2312 2.9517
Th Tl Rh Se
3 3 1 8
Direct
0.5000 0.0000 0.5000 Th
0.5000 0.5000 0.5000 Th
0.0000 0.5000 0.5000 Th
0.0000 0.0000 0.0000 Tl
0.0000 0.5000 0.0000 Tl
0.5000 0.5000 0.0000 Tl
0.0000 0.0000 0.5000 Rh
0.2610 0.5221 0.2832 Se
0.7390 0.4779 0.7168 Se
0.7732 0.5465 0.3029 Se
0.2268 0.4535 0.6971 Se
0.7727 0.0297 0.3025 Se
0.2273 0.9703 0.6975 Se
0.2570 0.0297 0.3025 Se
0.7430 0.9703 0.6975 Se
```

Results
- N(E_F) (states/eV per cell) = 2.02
- ΔE_f (raw) (eV per atom) = -1.05

---

VASP calculation (PBE-GGA) on an optimized crystal structure of Th6TlRh2Se3.

POSCAR file:
```
Th6TlRh2Se3
1.0
4.1701 0.0000 0.0000
0.0000 8.8426 0.2384
-2.0851 -2.6370 8.9906
Th Tl Rh Se
6 1 2 3
Direct
0.3262 0.8902 0.6524 Th
0.6734 0.5678 0.3467 Th
0.6738 0.1098 0.3476 Th
0.0116 0.2708 0.0233 Th
0.9884 0.7292 0.9767 Th
0.3266 0.4322 0.6533 Th
0.5000 0.0000 0.0000 Tl
0.8293 0.6626 0.6586 Rh
0.1707 0.3374 0.3414 Rh
0.5000 0.5000 0.0000 Se
0.8417 0.1666 0.6835 Se
0.1583 0.8334 0.3165 Se
```

Results
- N(E_F) (states/eV per cell) = 9.39
- ΔE_f (raw) (eV per atom) = -1.03

---

VASP calculation (PBE-GGA) on an optimized crystal structure of TmThRhSe.

POSCAR file:
```
TmThRhSe
1.0
4.0261 -0.0008 -0.0004
-2.0129 3.4875 -0.0001
-2.0131 -1.1620 7.2706
Tm Th Rh Se
1 1 1 1
Direct
0.9492 0.3726 0.3369 Tm
0.3283 0.5621 0.9056 Th
0.1362 0.9660 0.1173 Rh
0.4642 0.1301 0.6099 Se
```

Results
- N(E_F) (states/eV per cell) = 0.86
- ΔE_f (raw) (eV per atom) = -1.22

---

VASP calculation (PBE-GGA) on an optimized crystal structure of YThRhSe.

POSCAR file:
```
YThRhSe
1.0
-2.5659 -2.9604 0.9754
3.5812 0.2575 1.8467
-2.4617 6.1752 3.9114
Y Th Rh Se
1 1 1 1
Direct
0.9519 0.3740 0.3409 Y
0.3278 0.5618 0.9050 Th
0.1319 0.9639 0.1109 Rh
0.4663 0.1311 0.6129 Se
```

Results
- N(E_F) (states/eV per cell) = 1.02
- ΔE_f (raw) (eV per atom) = -1.22

---

VASP calculation (PBE-GGA) on an optimized crystal structure of TiRhSe.

POSCAR file:
```
TiRhSe
1.0
-3.4312 2.9456 2.5621
-2.4447 -1.1061 -2.0023
1.3920 -3.3948 5.7671
Se Ti Rh
2 2 2
Direct
0.0000 0.1464 0.5133 Se
0.5000 0.5915 0.9578 Se
0.2500 0.3690 0.2356 Ti
0.7500 0.3690 0.2356 Ti
0.0000 0.5921 0.9582 Rh
0.5000 0.1464 0.5130 Rh
```

Results
- N(E_F) (states/eV per cell) = 2.51
- ΔE_f (raw) (eV per atom) = -0.63

---

VASP calculation (PBE-GGA) on an optimized crystal structure of TiRhSe4.

POSCAR file:
```
TiRhSe4
1.0
-6.1106 2.3377 2.5991
0.9967 -4.2248 6.1432
-0.2188 2.7589 6.5380
Ti Rh Se
2 2 8
Direct
0.5000 0.5000 0.0000 Ti
0.0000 0.5000 0.0000 Ti
0.0000 0.0000 0.5000 Rh
0.0000 0.5000 0.5000 Rh
0.2268 0.2381 0.5238 Se
0.2590 0.2622 0.9821 Se
0.2590 0.7557 0.9821 Se
0.7494 0.2381 0.5238 Se
0.2506 0.7619 0.4762 Se
0.7410 0.7378 0.0179 Se
0.7410 0.2443 0.0179 Se
0.7732 0.7619 0.4762 Se
```

Results
- N(E_F) (states/eV per cell) = 8.24
- ΔE_f (raw) (eV per atom) = -0.68
- energy relative to the lowest polymorph listed for this composition (meV/atom) = 41

---

> Which value of N(E_F) does entry 8 give?

8.24 states/eV per cell

---

> Look up the N(E_F) of the sixth one.

1.02 states/eV per cell

---

What did the first record say?
VASP calculation (PBE-GGA) on an optimized crystal structure of ThRhSe.

POSCAR file:
```
ThRhSe
1.0
-1.1130 -3.3408 1.4680
2.6278 -2.0981 -2.7824
1.4953 1.2218 3.9141
Rh Se Th
1 1 1
Direct
0.1658 0.0000 0.0000 Rh
0.1673 0.3333 0.6667 Se
0.6669 0.6667 0.3333 Th
```

Results
- N(E_F) (states/eV per cell) = 1.40
- ΔE_f (raw) (eV per atom) = -1.20
- energy relative to the lowest polymorph listed for this composition (meV/atom) = 0